DFT (PBE) results for a relaxed structure of CaTbMg.

Geometry as POSCAR:
```
CaTbMg
1.0
5.640 0.000 0.000
-2.820 4.884 0.000
0.000 0.000 3.412
Ca Tb Mg
1 1 1
Direct
0.000 0.000 0.000 Ca
0.333 0.667 0.605 Tb
0.667 0.333 0.242 Mg
```

The calculation puts the total energy at -2.657 eV per atom. The value obtained for the energy relative to the lowest polymorph listed for this composition is 0.37 eV per formula unit.

DFT (PBE) results for a relaxed structure of CaTb2Mg5.

Geometry as POSCAR:
```
CaTb2Mg5
1.0
-2.668 2.668 7.594
2.668 -2.668 7.594
2.668 2.668 -7.594
Ca Tb Mg
1 2 5
Direct
0.000 0.000 0.000 Ca
0.258 0.258 0.000 Tb
0.742 0.742 0.000 Tb
0.122 0.622 0.500 Mg
0.378 0.878 0.500 Mg
0.500 0.500 0.000 Mg
0.622 0.122 0.500 Mg
0.878 0.378 0.500 Mg
```

The calculation puts the total energy at -2.458 eV per atom.

DFT (PBE) results for a relaxed structure of Ca2TbMg.

Geometry as POSCAR:
```
Ca2TbMg
1.0
1.782 1.029 12.560
-1.782 1.029 12.560
0.000 -2.057 12.560
Ca Tb Mg
2 1 1
Direct
0.092 0.092 0.092 Ca
0.908 0.908 0.908 Ca
0.000 0.000 0.000 Tb
0.500 0.500 0.500 Mg
```

The calculation puts the total energy at -2.333 eV per atom. The value obtained for the energy relative to the lowest polymorph listed for this composition is 0.61 eV per formula unit.

DFT (PBE) results for a relaxed structure of Ca2TbMg.

Geometry as POSCAR:
```
Ca2TbMg
1.0
5.000 0.000 0.000
0.000 5.000 0.000
0.000 0.000 5.387
Ca Tb Mg
2 1 1
Direct
0.000 0.500 0.000 Ca
0.500 0.000 0.000 Ca
0.000 0.000 0.500 Tb
0.500 0.500 0.500 Mg
```

The calculation puts the total energy at -2.482 eV per atom. The value obtained for the energy relative to the lowest polymorph listed for this composition is 0.01 eV per formula unit.

DFT (PBE) results for a relaxed structure of CaTbMg.

Geometry as POSCAR:
```
CaTbMg
1.0
5.359 0.000 0.000
0.000 5.359 0.000
0.000 0.000 7.728
Ca Tb Mg
2 2 2
Direct
0.250 0.750 0.000 Ca
0.750 0.250 0.000 Ca
0.250 0.750 0.500 Tb
0.750 0.250 0.500 Tb
0.250 0.250 0.263 Mg
0.750 0.750 0.737 Mg
```

The calculation puts the total energy at -2.420 eV per atom. The value obtained for the energy relative to the lowest polymorph listed for this composition is 1.08 eV per formula unit.

DFT (PBE) results for a relaxed structure of Ca2TbMg.

Geometry as POSCAR:
```
Ca2TbMg
1.0
4.187 0.000 0.000
0.000 4.187 0.000
0.000 0.000 7.645
Ca Tb Mg
2 1 1
Direct
0.000 0.000 0.237 Ca
0.000 0.000 0.763 Ca
0.500 0.500 0.500 Tb
0.500 0.500 0.000 Mg
```

The calculation puts the total energy at -2.485 eV per atom. The value obtained for the energy relative to the lowest polymorph listed for this composition is 0.00 eV per formula unit.

DFT (PBE) results for a relaxed structure of Ca5TbMg4.

Geometry as POSCAR:
```
Ca5TbMg4
1.0
3.918 0.000 0.000
0.000 3.918 0.000
0.000 0.000 21.034
Ca Tb Mg
5 1 4
Direct
0.000 0.000 0.000 Ca
0.000 0.000 0.192 Ca
0.000 0.000 0.383 Ca
0.000 0.000 0.617 Ca
0.000 0.000 0.808 Ca
0.500 0.500 0.500 Tb
0.500 0.500 0.095 Mg
0.500 0.500 0.288 Mg
0.500 0.500 0.712 Mg
0.500 0.500 0.905 Mg
```

The calculation puts the total energy at -2.120 eV per atom.

DFT (PBE) results for a relaxed structure of CaTbMg.

Geometry as POSCAR:
```
CaTbMg
1.0
3.753 0.000 0.000
0.000 3.753 0.000
0.000 0.000 13.526
Ca Tb Mg
2 2 2
Direct
0.250 0.250 0.108 Ca
0.750 0.750 0.892 Ca
0.250 0.250 0.414 Tb
0.750 0.750 0.586 Tb
0.250 0.250 0.734 Mg
0.750 0.750 0.266 Mg
```

The calculation puts the total energy at -2.781 eV per atom. The value obtained for the energy relative to the lowest polymorph listed for this composition is 0.00 eV per formula unit.

DFT (PBE) results for a relaxed structure of CaTb3Mg2.

Geometry as POSCAR:
```
CaTb3Mg2
1.0
3.810 0.000 0.000
0.000 3.810 0.000
0.000 0.000 12.572
Ca Tb Mg
1 3 2
Direct
0.000 0.000 0.000 Ca
0.500 0.500 0.207 Tb
0.500 0.500 0.500 Tb
0.500 0.500 0.793 Tb
0.000 0.000 0.352 Mg
0.000 0.000 0.648 Mg
```

The calculation puts the total energy at -3.190 eV per atom.

DFT (PBE) results for a relaxed structure of CaTbMg.

Geometry as POSCAR:
```
CaTbMg
1.0
-1.872 1.872 6.797
1.872 -1.872 6.797
1.872 1.872 -6.797
Ca Tb Mg
1 1 1
Direct
0.000 0.000 0.000 Ca
0.301 0.301 0.000 Tb
0.658 0.658 0.000 Mg
```

The calculation puts the total energy at -2.732 eV per atom. The value obtained for the energy relative to the lowest polymorph listed for this composition is 0.15 eV per formula unit.

DFT (PBE) results for a relaxed structure of CaTbMg4.

Geometry as POSCAR:
```
CaTbMg4
1.0
0.000 4.327 4.327
4.327 0.000 4.327
4.327 4.327 0.000
Ca Tb Mg
1 1 4
Direct
0.000 0.000 0.000 Ca
0.250 0.250 0.250 Tb
0.127 0.624 0.624 Mg
0.624 0.127 0.624 Mg
0.624 0.624 0.127 Mg
0.624 0.624 0.624 Mg
```

The calculation puts the total energy at -2.248 eV per atom.

DFT (PBE) results for a relaxed structure of CaTb2Mg9.

Geometry as POSCAR:
```
CaTb2Mg9
1.0
3.041 1.756 9.887
-3.041 1.756 9.887
0.000 -3.511 9.887
Ca Tb Mg
1 2 9
Direct
0.000 0.000 0.000 Ca
0.147 0.147 0.147 Tb
0.853 0.853 0.853 Tb
0.080 0.588 0.588 Mg
0.334 0.334 0.334 Mg
0.412 0.412 0.920 Mg
0.412 0.920 0.412 Mg
0.500 0.500 0.500 Mg
0.588 0.080 0.588 Mg
0.588 0.588 0.080 Mg
0.666 0.666 0.666 Mg
0.920 0.412 0.412 Mg
```

The calculation puts the total energy at -2.182 eV per atom.

DFT (PBE) results for a relaxed structure of Ca2TbMgTe4.

Geometry as POSCAR:
```
Ca2TbMgTe4
1.0
7.622 0.000 0.000
0.000 4.378 0.000
-2.574 0.000 7.297
Ca Tb Mg Te
2 1 1 4
Direct
0.000 0.000 0.000 Ca
0.000 0.500 0.500 Ca
0.500 0.000 0.500 Tb
0.500 0.500 0.000 Mg
0.259 0.500 0.247 Te
0.267 0.000 0.762 Te
0.733 0.000 0.238 Te
0.741 0.500 0.753 Te
```

The calculation puts the total energy at -4.174 eV per atom.

DFT (PBE) results for a relaxed structure of CaTbTmMg.

Geometry as POSCAR:
```
CaTbTmMg
1.0
0.000 3.947 3.947
3.947 0.000 3.947
3.947 3.947 0.000
Ca Tb Tm Mg
1 1 1 1
Direct
0.000 0.000 0.000 Ca
0.500 0.500 0.500 Tb
0.750 0.750 0.750 Tm
0.250 0.250 0.250 Mg
```

The calculation puts the total energy at -3.087 eV per atom.

DFT (PBE) results for a relaxed structure of CaTbYMg.

Geometry as POSCAR:
```
CaTbYMg
1.0
0.000 3.954 3.954
3.954 0.000 3.954
3.954 3.954 0.000
Ca Tb Y Mg
1 1 1 1
Direct
0.000 0.000 0.000 Ca
0.750 0.750 0.750 Tb
0.250 0.250 0.250 Y
0.500 0.500 0.500 Mg
```

The calculation puts the total energy at -3.602 eV per atom.

DFT (PBE) results for a relaxed structure of CaTbMgZn.

Geometry as POSCAR:
```
CaTbMgZn
1.0
3.678 0.000 0.000
0.000 3.678 0.000
0.000 0.000 7.854
Ca Tb Mg Zn
1 1 1 1
Direct
0.000 0.000 0.000 Ca
0.000 0.000 0.446 Tb
0.500 0.500 0.715 Mg
0.500 0.500 0.240 Zn
```

The calculation puts the total energy at -2.558 eV per atom. The value obtained for the energy relative to the lowest polymorph listed for this composition is 0.00 eV per formula unit.

DFT (PBE) results for a relaxed structure of CaTbMgZn.

Geometry as POSCAR:
```
CaTbMgZn
1.0
0.000 3.741 3.741
3.741 0.000 3.741
3.741 3.741 0.000
Ca Tb Mg Zn
1 1 1 1
Direct
0.000 0.000 0.000 Ca
0.500 0.500 0.500 Tb
0.250 0.250 0.250 Mg
0.750 0.750 0.750 Zn
```

The calculation puts the total energy at -2.516 eV per atom. The value obtained for the energy relative to the lowest polymorph listed for this composition is 0.17 eV per formula unit.

DFT (PBE) results for a relaxed structure of CaMg3Tc.

Geometry as POSCAR:
```
CaMg3Tc
1.0
5.071 0.000 0.000
0.000 5.071 0.000
0.000 0.000 5.071
Ca Mg Tc
1 3 1
Direct
0.000 0.000 0.000 Ca
0.000 0.500 0.500 Mg
0.500 0.000 0.500 Mg
0.500 0.500 0.000 Mg
0.500 0.500 0.500 Tc
```

The calculation puts the total energy at -3.060 eV per atom. The value obtained for the energy relative to the lowest polymorph listed for this composition is 0.00 eV per formula unit.

DFT (PBE) results for a relaxed structure of CaMgTc3.

Geometry as POSCAR:
```
CaMgTc3
1.0
4.684 0.000 0.000
0.000 4.684 0.000
0.000 0.000 4.684
Ca Mg Tc
1 1 3
Direct
0.000 0.000 0.000 Ca
0.500 0.500 0.500 Mg
0.000 0.000 0.500 Tc
0.000 0.500 0.000 Tc
0.500 0.000 0.000 Tc
```

The calculation puts the total energy at -4.664 eV per atom. The value obtained for the energy relative to the lowest polymorph listed for this composition is 3.02 eV per formula unit.

DFT (PBE) results for a relaxed structure of Ca4MgTc.

Geometry as POSCAR:
```
Ca4MgTc
1.0
0.000 4.569 4.569
4.569 0.000 4.569
4.569 4.569 0.000
Ca Mg Tc
4 1 1
Direct
0.376 0.376 0.376 Ca
0.376 0.376 0.872 Ca
0.376 0.872 0.376 Ca
0.872 0.376 0.376 Ca
0.000 0.000 0.000 Mg
0.750 0.750 0.750 Tc
```

The calculation puts the total energy at -2.437 eV per atom.